# Sm3Zn2Si4Au2

A relaxed structure of Sm3Zn2Si4Au2 (PBE, OQMD via LeMat-Bulk).

Properties
Distance to the lowest polymorph of the same formula: 41 meV per atom

Unit cell a=12.7143 b=12.7143 c=12.7143 alpha=160.96 beta=160.95 gamma=27.07
Closest atoms and distances in Å follow each position.
Fractional positions:
Si 0.0476 0.0476 0.0000  1 Si 2.35, 2 Zn 2.40
Si 0.9524 0.9524 0.0000  1 Si 2.35, 2 Zn 2.40
Si 0.1897 0.6897 0.5000  1 Zn 2.36, 4 Au 2.57-2.59
Si 0.8103 0.3103 0.5000  1 Zn 2.36, 4 Au 2.57-2.59
Sm 0.5000 0.5000 0.0000  4 Zn 3.14, 8 Si 3.20
Sm 0.6449 0.1448 0.5000  6 Si 3.18-3.19, 4 Zn 3.23, 4 Au 3.33-3.36
Sm 0.3552 0.8552 0.5000  6 Si 3.18-3.19, 4 Zn 3.23, 4 Au 3.33-3.36
Au 0.2493 0.2493 0.0000  4 Si 2.57-2.59
Au 0.7507 0.7507 0.0000  4 Si 2.57-2.59
Zn 0.9059 0.4059 0.5000  3 Si 2.36-2.40
Zn 0.0941 0.5941 0.5000  3 Si 2.36-2.40

# NaZrGaSe3

A relaxed structure of NaZrGaSe3 (PBE, OQMD via LeMat-Bulk).

Properties
Energy: -4.7081 eV/atom

Unit cell a=7.6556 b=7.6556 c=9.9128 alpha=90.00 beta=90.00 gamma=151.44
Closest atoms and distances in Å follow each position.
Fractional positions:
Na 0.2612 0.7388 0.2500  6 Se 3.12-3.14
Na 0.7388 0.2612 0.7500  6 Se 3.12-3.14
Se 0.1340 0.8660 0.9482  1 Ga 2.51, 2 Zr 2.79
Se 0.8660 0.1340 0.4482  1 Ga 2.51, 2 Zr 2.79
Se 0.1340 0.8660 0.5518  1 Ga 2.51, 2 Zr 2.79
Se 0.4063 0.5937 0.7500  2 Ga 2.62, 2 Zr 2.84
Se 0.5937 0.4063 0.2500  2 Ga 2.62, 2 Zr 2.84
Se 0.8660 0.1340 0.0518  1 Ga 2.51, 2 Zr 2.79
Ga 0.9712 0.0288 0.2500  4 Se 2.51-2.62
Ga 0.0288 0.9712 0.7500  4 Se 2.51-2.62
Zr 0.5000 0.5000 0.5000  6 Se 2.79-2.84
Zr 0.5000 0.5000 0.0000  6 Se 2.79-2.84

Number 1: magnetization 0.00 μB/f.u.. Number 2: magnetization 0.04 μB/f.u..